CaVCu, relaxed, DFT PBE-GGA; raw total energy = -4.74 eV per atom; total magnetic moment = 0.0 μB/f.u.; Fermi-level density of states = 0.75 states/eV/atom; formation energy = 0.3274 eV per atom
1.0
3.187 0.000 0.000
-0.453 5.796 0.000
-1.591 -0.401 6.469
Ca V Cu
2 2 2
direct
0.000 0.000 0.000
0.444 0.486 0.717
0.185 0.980 0.523
0.756 0.739 0.363
0.126 0.498 0.126
0.692 0.266 0.339